Model one:
CuHSe3: optimized geometry, PBE.

Properties
Symmetry: No. 221

Geometry as extended XYZ:
```
5
Lattice="-0.019 4.030 -1.549 -0.506 -1.540 -4.001 -4.287 0.163 0.479" Properties=species:S:1:pos:R:3 pbc="T T T"
H 0.000 0.000 0.000
Cu -2.406 1.326 -2.536
Se -2.144 0.082 0.239
Se -0.010 2.015 -0.774
Se -0.253 -0.770 -2.001
```

***

Model two:
CuHSe3: optimized geometry, PBE.

Properties
Symmetry: No. 221

Geometry as extended XYZ:
```
5
Lattice="-1.420 3.634 2.824 -3.071 1.454 -3.414 -3.429 -2.807 1.888" Properties=species:S:1:pos:R:3 pbc="T T T"
Se -1.714 -1.404 0.944
H -3.960 1.140 0.649
Se -0.710 1.817 1.412
Se -1.535 0.727 -1.707
Cu 0.000 0.000 0.000
```

***

Q: What are the energies relative to the best structure? A: model one 0; model two 91, in meV/atom.

***

Model one:
CuH3Se: optimized geometry, PBE.

Properties
Symmetry: No. 221

Geometry as extended XYZ:
```
5
Lattice="-3.518 -0.338 0.260 -0.250 -0.115 -3.533 0.345 -3.525 0.090" Properties=species:S:1:pos:R:3 pbc="T T T"
H 0.173 -1.763 0.045
H -1.759 -0.169 0.130
Cu 0.000 0.000 0.000
Se -1.711 -1.989 -1.591
H -0.125 -0.057 -1.766
```

***

Model two:
CuH3Se: optimized geometry, PBE.

Properties
Symmetry: No. 221

Geometry as extended XYZ:
```
5
Lattice="-1.831 2.872 1.493 -3.032 -0.920 -1.948 -1.135 -2.176 2.794" Properties=species:S:1:pos:R:3 pbc="T T T"
Cu -2.999 -0.112 1.170
H -0.915 1.436 0.747
Se 0.000 0.000 0.000
H -0.568 -1.088 1.397
H -1.516 -0.460 -0.974
```

***

Q: What are the energies relative to the best structure? A: model one 0; model two 110, in meV/atom.

***

Model one:
CuHSe2: optimized geometry, PBE.

Properties
Symmetry: No. 122

Geometry as extended XYZ:
```
8
Lattice="-0.519 3.190 4.154 -1.141 -4.143 3.039 3.858 -1.027 4.605" Properties=species:S:1:pos:R:3 pbc="T T T"
Se 1.491 -1.421 9.614
H -0.830 -0.476 3.597
Se 2.220 -1.311 6.286
Se 0.521 1.078 3.944
Cu 0.000 0.000 0.000
Cu 1.255 0.843 6.178
Se 0.163 -2.306 3.754
H 0.943 -2.823 5.621
```

***

Model two:
CuHSe2: optimized geometry, PBE.

Properties
Symmetry: No. 14

Geometry as extended XYZ:
```
16
Lattice="-4.804 5.956 -4.805 0.259 -3.616 -4.740 -5.295 -1.370 3.595" Properties=species:S:1:pos:R:3 pbc="T T T"
Se -3.528 0.506 -6.312
Se -8.742 3.166 -1.140
Cu -5.192 3.218 -3.216
H -2.080 -1.135 -5.242
Se -4.474 -0.329 -1.243
H -7.759 2.105 -0.709
Se -2.247 -2.254 -2.519
Cu -7.906 0.968 -3.985
Se -1.097 -2.196 -4.811
Se -5.365 1.299 -4.708
Se -6.311 0.464 0.361
H -3.914 -1.181 -0.131
Cu -1.933 0.002 -1.965
Se -7.592 3.224 -3.431
Cu -4.648 -2.248 -2.734
H -5.925 2.151 -5.820
```

***

Model three:
CuHSe2: optimized geometry, PBE.

Properties
Symmetry: No. 166

Geometry as extended XYZ:
```
4
Lattice="-5.347 3.583 -0.373 -3.593 4.554 2.814 -2.424 5.955 -0.479" Properties=species:S:1:pos:R:3 pbc="T T T"
Cu -5.682 7.045 0.981
Se -10.263 12.726 1.772
H 0.000 0.000 0.000
Se -1.101 1.365 0.190
```

***

Model four:
CuHSe2: optimized geometry, PBE.

Properties
Symmetry: No. 225

Geometry as extended XYZ:
```
4
Lattice="0.000 3.068 3.068 3.068 0.000 3.068 3.068 3.068 0.000" Properties=species:S:1:pos:R:3 pbc="T T T"
H 0.000 0.000 0.000
Cu 3.068 3.068 3.068
Se 1.534 1.534 1.534
Se 4.602 4.602 4.602
```

***

Q: What are the energies relative to the best structure? A: model one 290; model two 0; model three 80; model four 676, in meV/atom.

***

Model one:
Cu2HSe: optimized geometry, PBE.

Properties
Symmetry: No. 160

Geometry as extended XYZ:
```
4
Lattice="3.074 0.000 0.000 1.537 2.663 0.000 1.537 0.888 5.986" Properties=species:S:1:pos:R:3 pbc="T T T"
Se 3.074 1.775 3.103
H 3.074 1.775 0.078
Cu 1.537 0.888 4.975
Cu 1.537 0.888 0.823
```

***

Model two:
Cu2HSe: optimized geometry, PBE.

Properties
Symmetry: No. 1

Geometry as extended XYZ:
```
8
Lattice="-0.658 1.649 -2.208 -4.511 -3.169 -2.929 -3.415 3.516 3.667" Properties=species:S:1:pos:R:3 pbc="T T T"
H -5.321 0.161 -3.277
Se -6.927 1.168 -0.195
Cu -5.870 -0.473 -1.769
Cu -1.297 1.730 -1.394
Cu -5.560 2.956 0.743
Se -3.501 1.566 0.901
Cu -3.378 -0.379 -0.608
H -2.633 0.642 -1.878
```

***

Q: What are the energies relative to the best structure? A: model one 221; model two 0, in meV/atom.

***

Model one:
Cu2HSe: optimized geometry, PBE.

Properties
Symmetry: No. 225

Geometry as extended XYZ:
```
4
Lattice="0.000 2.930 2.930 2.930 0.000 2.930 2.930 2.930 0.000" Properties=species:S:1:pos:R:3 pbc="T T T"
Cu 4.396 4.396 4.396
Cu 1.465 1.465 1.465
Se 2.930 2.930 2.930
H 0.000 0.000 0.000
```

***

Model two:
Cu2HSe: optimized geometry, PBE.

Properties
Symmetry: No. 122

Geometry as extended XYZ:
```
8
Lattice="4.541 0.000 0.000 0.000 4.541 0.000 2.270 2.270 5.157" Properties=species:S:1:pos:R:3 pbc="T T T"
Cu 5.676 5.106 3.868
H 2.270 4.541 2.579
Cu 3.405 3.975 3.868
Cu 2.836 1.135 1.289
Se 0.000 0.000 0.000
Cu 1.705 3.405 1.289
Se 4.541 2.270 2.579
H 2.270 2.270 0.000
```

***

Q: What are the energies relative to the best structure? A: model one 372; model two 0, in meV/atom.

***

Model one:
Cu3HSe: optimized geometry, PBE.

Properties
Symmetry: No. 221

Geometry as extended XYZ:
```
5
Lattice="-1.358 -3.396 -1.342 2.551 -1.907 2.243 -2.612 -0.097 2.889" Properties=species:S:1:pos:R:3 pbc="T T T"
Cu -0.679 -1.698 -0.671
Se -0.710 -2.700 1.895
Cu -1.306 -0.048 1.444
Cu 1.276 -0.953 1.122
H 0.000 0.000 0.000
```

***

Model two:
Cu3HSe: optimized geometry, PBE.

Properties
Symmetry: No. 221

Geometry as extended XYZ:
```
5
Lattice="4.564 0.000 0.000 0.000 4.564 0.000 0.000 0.000 4.564" Properties=species:S:1:pos:R:3 pbc="T T T"
Cu 0.000 2.282 0.000
Cu 2.282 0.000 0.000
Se 0.000 0.000 0.000
Cu 0.000 0.000 2.282
H 2.282 2.282 2.282
```

***

Q: What are the energies relative to the best structure? A: model one 0; model two 605, in meV/atom.